Below is NaMg2 after structural relaxation, with properties calculated at the PBE level.

Lattice parameters (Å, degrees): 6.1942 6.1942 6.1942 60.00 60.00 60.00
Last column: nearest neighbours and their distance in Å.
Atoms (fractional coordinates):
1 Na 0.1250 0.1250 0.1250  12 Mg 3.63, 4 Na 3.79
2 Na 0.8750 0.8750 0.8750  12 Mg 3.63, 4 Na 3.79
3 Mg 0.0000 0.5000 0.5000  6 Mg 3.10
4 Mg 0.5000 0.0000 0.5000  6 Mg 3.10
5 Mg 0.5000 0.5000 0.0000  6 Mg 3.10
6 Mg 0.5000 0.5000 0.5000  6 Mg 3.10

## Properties
- SG = No. 227
- formation enthalpy at 0 K (eV/atom) = 0.080
- crystal system = cubic
- total moment (μB/cell) = 0.00

***

Below is NaMg after structural relaxation, with properties calculated at the PBE level.

Lattice parameters (Å, degrees): 3.2861 3.2861 10.5779 90.00 90.00 90.00
Last column: nearest neighbours and their distance in Å.
Atoms (fractional coordinates):
1 Na 0.2500 0.2500 0.1457  4 Na 3.29, 4 Mg 3.53
2 Na 0.7500 0.7500 0.8543  4 Na 3.29, 4 Mg 3.53
3 Mg 0.2500 0.2500 0.6036  8 Mg 3.19-3.29, 4 Na 3.53
4 Mg 0.7500 0.7500 0.3964  8 Mg 3.19-3.29, 4 Na 3.53

## Properties
- SG = No. 129
- formation enthalpy at 0 K (eV/atom) = 0.068
- crystal system = tetragonal
- total moment (μB/cell) = 0.00

***

Below is NaMg after structural relaxation, with properties calculated at the PBE level.

Lattice parameters (Å, degrees): 6.3587 6.3587 6.4404 90.00 90.00 90.00
Last column: nearest neighbours and their distance in Å.
Atoms (fractional coordinates):
1 Na 0.1821 0.1821 0.0000  6 Mg 3.22-3.36, 1 Na 3.28
2 Na 0.3179 0.6821 0.5000  6 Mg 3.22-3.36, 1 Na 3.28
3 Na 0.6821 0.3179 0.5000  6 Mg 3.22-3.36, 1 Na 3.28
4 Na 0.8179 0.8179 0.0000  6 Mg 3.22-3.36, 1 Na 3.28
5 Mg 0.1744 0.1744 0.5000  1 Mg 3.14, 6 Na 3.22-3.36
6 Mg 0.3256 0.6744 0.0000  1 Mg 3.14, 6 Na 3.22-3.36
7 Mg 0.6744 0.3256 0.0000  1 Mg 3.14, 6 Na 3.22-3.36
8 Mg 0.8256 0.8256 0.5000  1 Mg 3.14, 6 Na 3.22-3.36

## Properties
- SG = No. 136
- formation enthalpy at 0 K (eV/atom) = 0.308
- crystal system = tetragonal
- total moment (μB/cell) = 0.00

***

Below is NaMg after structural relaxation, with properties calculated at the PBE level.

Lattice parameters (Å, degrees): 3.3362 3.3362 11.5406 90.00 90.00 120.00
Last column: nearest neighbours and their distance in Å.
Atoms (fractional coordinates):
1 Na 0.0000 0.0000 0.0000  6 Na 3.34, 6 Mg 3.47
2 Na 0.0000 0.0000 0.5000  6 Na 3.34, 6 Mg 3.47
3 Mg 0.3333 0.6667 0.2500  6 Mg 3.34, 6 Na 3.47
4 Mg 0.6667 0.3333 0.7500  6 Mg 3.34, 6 Na 3.47

## Properties
- SG = No. 194
- formation enthalpy at 0 K (eV/atom) = 0.107
- crystal system = hexagonal
- total moment (μB/cell) = 0.00